VASP calculation (PBE) on a relaxed structure of ErZr3Sc.

Cell lengths 5.280, 15.229, 6.291 Å; angles 90.00, 90.00, 90.00 degrees
Space group Cmcm (No. 63)
Unique sites:
Er1 0.000 0.008 0.250 x4
Zr1 0.000 0.196 0.003 x8
Zr2 0.000 0.372 0.750 x4
Sc1 0.000 0.382 0.250 x4

## Properties
ΔE_f (eV/atom): 0.124